# 1
A plane-wave DFT calculation with PBE was carried out for PmNd3Th4S8 after structural relaxation.

Summary:
The spin magnetization is 0.00 μB/f.u. The calculation puts the uncorrected energy at -337.86 eV/cell. Its uncorrected formation energy is -1.9292 eV/atom.

```
data_PmNd3Th4S8
_cell_length_a 8.0345
_cell_length_b 8.0345
_cell_length_c 20.1382
_cell_angle_alpha 90.00
_cell_angle_beta 90.00
_cell_angle_gamma 120.00
_space_group_name_H-M_alt 'R -3 m'
_space_group_IT_number 166
_space_group_name_Hall '-R 3 2"'
loop_
_atom_site_label
_atom_site_fract_x
_atom_site_fract_y
_atom_site_fract_z
Pm1 0.0000 0.0000 0.0000
Nd1 0.0000 0.5000 0.0000
Th1 0.0000 0.0000 0.5000
Th2 0.0000 0.5000 0.5000
S1 0.0000 0.0000 0.2502
S2 0.0013 0.5007 0.7495
```

=====

# 2
A plane-wave DFT calculation with PBE was carried out for Pm2NdThS4 after structural relaxation.

Summary:
The spin magnetization is 0.00 μB/f.u. The calculation puts the uncorrected energy at -54.02 eV/cell. Its uncorrected formation energy is -1.9776 eV/atom.

```
data_Pm2NdThS4
_cell_length_a 7.0090
_cell_length_b 4.0260
_cell_length_c 7.0159
_cell_angle_alpha 90.00
_cell_angle_beta 109.32
_cell_angle_gamma 90.00
_space_group_name_H-M_alt 'P 1 2/m 1'
_space_group_IT_number 10
loop_
_space_group_symop_operation_xyz
'x,y,z'
'-x,-y,-z'
'-x,y,-z'
'x,-y,z'
loop_
_atom_site_label
_atom_site_fract_x
_atom_site_fract_y
_atom_site_fract_z
Pm1 0.0000 0.0000 0.0000
Pm2 0.5000 0.5000 0.0000
Nd1 0.0000 0.5000 0.5000
Th1 0.5000 0.0000 0.5000
S1 0.2500 0.5000 0.2479
S2 0.2520 0.0000 0.7523
```